Here is a geometry-optimized Li4Co3O2F6 structure from the Alexandria database. Energies are from PBE+U.

```
15
Lattice="5.213 0.000 0.000 0.923 5.192 0.000 0.150 1.872 5.654" Properties=species:S:1:pos:R:3 pbc="T T T"
Li 1.706 3.235 2.022
Li 2.000 4.329 4.930
Li 4.286 2.735 0.723
Li 4.580 3.829 3.631
Co 0.000 0.000 0.000
Co 3.534 5.594 1.326
Co 2.753 1.470 4.327
O 2.566 4.107 0.333
O 3.720 2.958 5.320
F 0.942 1.697 0.964
F 1.095 2.814 3.907
F 2.952 4.977 3.233
F 3.334 2.087 2.420
F 5.191 4.250 1.746
F 5.344 5.367 4.689
```

The total energy is -5.139 eV per atom. Its density of states at the Fermi level is 0.000 states/eV/cell. Its density is 3.80 g/cm³. The space-group type is P-1 (2).